Compound: In3Ag
Source: Alexandria via LeMat-Bulk
Functional: PBE-GGA
Structure: optimized geometry

Summary:
- SG: No. 139
- DOS(E_F): 1.81 states/eV/f.u.
- Spin magnetization: 0.0 Bohr magnetons per cell
- Crystal system: tetragonal
- E_form: 0.0582 eV per atom
- Calculated density: 7812 kg/m3

```
In3Ag
1.0
4.6124 0.0000 0.0000
0.0000 4.6124 0.0000
0.0000 0.0000 9.0393
In Ag
6 2
Direct
0.0000 0.0000 0.0000 In
0.0000 0.5000 0.2500 In
0.0000 0.5000 0.7500 In
0.5000 0.0000 0.2500 In
0.5000 0.0000 0.7500 In
0.5000 0.5000 0.5000 In
0.0000 0.0000 0.5000 Ag
0.5000 0.5000 0.0000 Ag
```